Entry 1:
First-principles (PBE-GGA) data for an optimized crystal structure of NpTlNiSe3, as listed in Alexandria.

Unit cell a=4.028 b=9.188 c=9.403 alpha=109.37 beta=90.00 gamma=90.00
Positions (direct):
1 Tl 0.750 0.802 0.770
2 Se 0.250 0.113 0.855
3 Ni 0.250 0.082 0.585
4 Se 0.250 0.809 0.474
5 Tl 0.250 0.198 0.230
6 Se 0.750 0.461 0.161
7 Se 0.250 0.539 0.839
8 Ni 0.750 0.918 0.415
9 Np 0.250 0.682 0.161
10 Se 0.750 0.887 0.145
11 Se 0.750 0.191 0.526
12 Np 0.750 0.318 0.839

Calculated values
Total moment (μB per cell): 5.309
Energy relative to the elements, uncorrected (eV/atom): -0.724
N(E_F) (states/eV/f.u.): 11.378
E_tot (Ha/atom): -0.220


Entry 2:
First-principles (PBE-GGA) data for an optimized crystal structure of Tb3Pm3Pr, as listed in Alexandria.

Unit cell a=8.958 b=8.958 c=8.958 alpha=58.52 beta=58.52 gamma=58.52
Positions (direct):
1 Tb 0.063 0.287 0.827
2 Pm 0.722 0.568 0.069
3 Pm 0.931 0.278 0.432
4 Pm 0.069 0.722 0.568
5 Pm 0.432 0.931 0.278
6 Tb 0.827 0.063 0.287
7 Tb 0.713 0.173 0.937
8 Tb 0.287 0.827 0.063
9 Pm 0.568 0.069 0.722
10 Pm 0.278 0.432 0.931
11 Tb 0.173 0.937 0.713
12 Pr 0.347 0.347 0.347
13 Pr 0.653 0.653 0.653
14 Tb 0.937 0.713 0.173

Calculated values
Total moment (μB per cell): 0.000
Distance to the lowest polymorph of the same formula (eV/atom): 0.000
ΔE_f (eV/atom): 0.202
N(E_F) (states/eV/f.u.): 10.716
E_tot (Ha/atom): -0.165


Entry 3:
First-principles (PBE-GGA) data for an optimized crystal structure of CoCuRu, as listed in Alexandria.

Unit cell a=3.886 b=3.886 c=3.886 alpha=60.00 beta=60.00 gamma=60.00
Positions (direct):
1 Co 0.750 0.750 0.750
2 Cu 0.000 0.000 0.000
3 Ru 0.500 0.500 0.500

Calculated values
Total moment (μB per cell): 0.001
Distance to the lowest polymorph of the same formula (eV/atom): 0.349
ΔE_f (eV/atom): 0.553
N(E_F) (states/eV/f.u.): 3.049
E_tot (Ha/atom): -0.231